## A
Ca6MgCd2 after structural relaxation, computed with PBE.

Cell lengths 9.3384, 9.3384, 9.3384 Å; angles 104.59, 112.48, 111.45 degrees
Fractional coordinates of all 18 atoms:
Ca: 0.5334 0.7195 0.8139
Ca: 0.4666 0.2805 0.1861
Ca: 0.0944 0.2805 0.8139
Ca: 0.9056 0.7195 0.1861
Ca: 0.8008 0.7536 0.5545
Ca: 0.1992 0.2464 0.4455
Ca: 0.1992 0.7536 0.9528
Ca: 0.8008 0.2464 0.0472
Ca: 0.7105 0.3834 0.6728
Ca: 0.2895 0.6166 0.3272
Ca: 0.2895 0.9623 0.6728
Ca: 0.7105 0.0377 0.3272
Mg: 0.0000 0.5000 0.5000
Mg: 0.0000 0.0000 0.0000
Cd: 0.5000 0.3709 0.8709
Cd: 0.5000 0.6291 0.1291
Cd: 0.6526 0.0000 0.6526
Cd: 0.3474 0.0000 0.3474

=====

## B
Ca6MgCd2 after structural relaxation, computed with PBE.

Cell lengths 5.4448, 10.4411, 10.4465 Å; angles 90.00, 90.01, 90.00 degrees
Fractional coordinates of all 18 atoms:
Ca: 0.9999 0.0267 0.1869
Ca: 0.0000 0.6868 0.5273
Ca: 0.9999 0.6255 0.8751
Ca: 0.5001 0.1255 0.6249
Ca: 0.5000 0.1868 0.9727
Ca: 0.5001 0.5267 0.3131
Ca: 0.0001 0.9733 0.8131
Ca: 0.0000 0.3132 0.4727
Ca: 0.0001 0.3745 0.1249
Ca: 0.4999 0.8745 0.3751
Ca: 0.5000 0.8132 0.0273
Ca: 0.4999 0.4733 0.6869
Mg: 0.5000 0.5000 0.0000
Mg: 0.0000 0.0000 0.5000
Cd: 0.9998 0.2999 0.7993
Cd: 0.5002 0.7999 0.7007
Cd: 0.4998 0.2001 0.2993
Cd: 0.0002 0.7001 0.2007

=====

Which one sits at the top of the stability order? A does.

=====

## A
Ca2MgCd3 after structural relaxation, computed with PBE.

Cell lengths 6.2317, 6.2317, 9.4698 Å; angles 102.96, 102.96, 108.55 degrees
Fractional coordinates of all 12 atoms:
Ca: 0.2500 0.7500 0.5000
Ca: 0.7526 0.7526 0.0000
Ca: 0.7500 0.2500 0.5000
Ca: 0.2474 0.2474 0.0000
Mg: 0.6669 0.6669 0.3337
Mg: 0.3331 0.3331 0.6663
Cd: 0.3345 0.8327 0.1672
Cd: 0.1673 0.6655 0.8328
Cd: 0.6655 0.1673 0.8328
Cd: 0.8327 0.3345 0.1672
Cd: 0.1675 0.1675 0.3351
Cd: 0.8325 0.8325 0.6649

=====

## B
Ca2MgCd3 after structural relaxation, computed with PBE.

Cell lengths 6.1458, 6.1458, 9.5342 Å; angles 90.00, 90.00, 120.00 degrees
Fractional coordinates of all 12 atoms:
Ca: 0.6667 0.3333 0.4386
Ca: 0.3333 0.6667 0.5614
Ca: 0.3333 0.6667 0.9386
Ca: 0.6667 0.3333 0.0614
Mg: 0.0000 0.0000 0.5000
Mg: 0.0000 0.0000 0.0000
Cd: 0.1706 0.3412 0.2500
Cd: 0.3412 0.1706 0.7500
Cd: 0.8294 0.6588 0.7500
Cd: 0.1706 0.8294 0.2500
Cd: 0.8294 0.1706 0.7500
Cd: 0.6588 0.8294 0.2500

=====

Which one sits at the top of the stability order? B does.